Entry 1:
DFT (PBE-GGA) results for NaZrTlS3 after structural relaxation.

Cell: 7.585 7.585 10.893 Å, 90.00 90.00 151.45°
Fractional coordinates of all 12 atoms:
S  0.381  0.619  0.511
S  0.977  0.023  0.250
S  0.619  0.381  0.011
S  0.381  0.619  0.989
S  0.619  0.381  0.489
S  0.023  0.977  0.750
Na  0.620  0.380  0.250
Na  0.380  0.620  0.750
Zr  0.000  0.000  0.000
Zr  0.000  0.000  0.500
Tl  0.675  0.325  0.750
Tl  0.325  0.675  0.250

VASP energy (eV per atom): -5.192
Crystal system: orthorhombic
Symmetry: Cmcm (63)
Excess energy over the best structure of this formula in the dataset (eV/atom): 0.004


Entry 2:
DFT (PBE-GGA) results for Er3Sc3CuTe2 after structural relaxation.

Cell: 7.983 7.983 3.931 Å, 90.00 90.00 120.00°
Fractional coordinates of all 9 atoms:
Er  0.606  0.000  0.000
Er  0.394  0.394  0.000
Er  0.000  0.606  0.000
Cu  0.000  0.000  0.000
Te  0.333  0.667  0.500
Te  0.667  0.333  0.500
Sc  0.238  0.000  0.500
Sc  0.000  0.238  0.500
Sc  0.762  0.762  0.500

VASP energy (eV per atom): -5.392
Crystal system: hexagonal
Symmetry: P-62m (189)
Excess energy over the best structure of this formula in the dataset (eV/atom): 0.000


Entry 3:
DFT (PBE-GGA) results for Li2LuMgNi2Sn2 after structural relaxation.

Cell: 4.513 4.513 6.414 Å, 90.00 90.00 90.00°
Fractional coordinates of all 8 atoms:
Sn  0.000  0.000  0.500
Sn  0.500  0.500  0.000
Li  0.000  0.500  0.731
Li  0.500  0.000  0.269
Lu  0.000  0.000  0.000
Ni  0.500  0.000  0.749
Ni  0.000  0.500  0.251
Mg  0.500  0.500  0.500

VASP energy (eV per atom): -4.080
Crystal system: tetragonal
Symmetry: P-4m2 (115)


Entry 4:
DFT (PBE-GGA) results for Pm2Bi after structural relaxation.

Cell: 9.873 9.873 9.873 Å, 60.00 60.00 60.00°
Each line ends with the local moment (μB).
Fractional coordinates of all 6 atoms:
Pm  0.625  0.625  0.125  0.44
Pm  0.625  0.125  0.625  0.45
Pm  0.625  0.625  0.625  0.44
Pm  0.125  0.625  0.625  0.42
Bi  0.500  0.500  0.500  0.00
Bi  0.750  0.750  0.750  0.00

VASP energy (eV per atom): -3.390
Crystal system: cubic
Symmetry: Fd-3m (227)
Excess energy over the best structure of this formula in the dataset (eV/atom): 1.244


Entry 5:
DFT (PBE-GGA) results for SmScAsO after structural relaxation.

Cell: 4.255 4.255 8.652 Å, 90.00 90.00 90.00°
Fractional coordinates of all 8 atoms:
As  0.500  0.000  0.726
As  0.000  0.500  0.274
Sc  0.500  0.000  0.071
Sc  0.000  0.500  0.929
Sm  0.000  0.000  0.500
Sm  0.500  0.500  0.500
O  0.500  0.500  0.000
O  0.000  0.000  0.000

VASP energy (eV per atom): -6.728
Crystal system: tetragonal
Symmetry: P4/nmm (129)
Excess energy over the best structure of this formula in the dataset (eV/atom): 0.483


Entry 6:
DFT (PBE-GGA) results for LiTaSiNi after structural relaxation.

Cell: 4.191 4.191 4.191 Å, 60.00 60.00 60.00°
Fractional coordinates of all 4 atoms:
Ta  0.250  0.250  0.250
Li  0.500  0.500  0.500
Ni  0.750  0.750  0.750
Si  0.000  0.000  0.000

VASP energy (eV per atom): -6.217
Crystal system: cubic
Symmetry: F-43m (216)
Excess energy over the best structure of this formula in the dataset (eV/atom): 0.014


no.,V (Å³ per atom)
1,24.96
2,24.11
3,16.33
4,113.42
5,19.58
6,13.02